Entry i
RbCaAg2 | Alexandria | PBE | relaxed; ρ = 3958 kg/m³; space-group type = I-42d (122)
1.0
8.6817 0.0000 0.0000
0.0000 8.6817 0.0000
4.3408 4.3408 3.7992
Ca Rb Ag
2 2 4
Cartesian
4.3408 4.3408 0.0000
4.3408 8.6817 1.8996
0.0000 0.0000 0.0000
8.6817 4.3408 1.8996
6.2043 2.1704 0.9498
2.4774 6.5113 0.9498
6.5113 6.8182 2.8494
10.8521 10.5451 2.8494

=====

Entry ii
RbCaAg2 | Alexandria | PBE | relaxed; ρ = 4547 kg/m³; space-group type = Fm-3m (225)
1.0
0.0000 3.9645 3.9645
3.9645 0.0000 3.9645
3.9645 3.9645 0.0000
Ca Rb Ag
1 1 2
Cartesian
0.0000 0.0000 0.0000
3.9645 3.9645 3.9645
1.9822 1.9822 1.9822
5.9467 5.9467 5.9467

=====

Entry iii
RbCaAg2 | Alexandria | PBE | relaxed; ρ = 4412 kg/m³; space-group type = P4/mmm (123)
1.0
3.9426 0.0000 0.0000
0.0000 3.9426 0.0000
0.0000 0.0000 8.2635
Ca Rb Ag
1 1 2
Cartesian
1.9713 1.9713 0.0000
1.9713 1.9713 4.1318
0.0000 0.0000 6.7626
0.0000 0.0000 1.5010

=====

It turns out entry iii is the most stable, with the second structure 16.0 kJ/mol of atoms higher.